{"formula": "TlAs5", "functional": "GGA-PBEsol", "state": "optimized geometry", "de_polymorph_mev_per_atom": 0, "e_tot_ev_per_cell": -27.38, "e_form_mev_per_atom": 130, "lattice": [[5.561, 0.000, 0.000], [0.000, 1.893, 6.087], [0.000, -1.893, 6.087]], "species": ["Tl", "As", "As", "As", "As", "As"], "frac_coords": [[0.000, 0.000, 0.000], [0.000, 0.318, 0.318], [0.000, 0.682, 0.682], [0.500, 0.329, 0.329], [0.500, 0.670, 0.670], [0.500, 0.999, 0.999]]}



{"formula": "TlAs", "functional": "GGA-PBEsol", "state": "optimized geometry", "e_tot_ev_per_cell": -15.32, "e_form_mev_per_atom": 38, "lattice": [[6.156, -1.785, 0.000], [6.156, 1.785, 0.000], [-1.479, 0.000, 4.730]], "species": ["Tl", "Tl", "As", "As"], "frac_coords": [[0.098, 0.098, 0.317], [0.902, 0.902, 0.683], [0.320, 0.320, 0.115], [0.680, 0.680, 0.885]]}



{"formula": "TlAs2", "functional": "GGA-PBEsol", "state": "optimized geometry", "e_tot_ev_per_cell": -25.01, "e_form_mev_per_atom": 113, "lattice": [[1.757, -8.218, 0.000], [1.757, 8.218, 0.000], [0.000, 0.000, 5.155]], "species": ["Tl", "Tl", "As", "As", "As", "As"], "frac_coords": [[0.073, 0.927, 0.750], [0.927, 0.073, 0.250], [0.216, 0.784, 0.250], [0.388, 0.612, 0.750], [0.612, 0.388, 0.250], [0.784, 0.216, 0.750]]}



{"formula": "Tl5As", "functional": "GGA-PBEsol", "state": "optimized geometry", "de_polymorph_mev_per_atom": 3, "e_tot_ev_per_cell": -18.03, "e_form_mev_per_atom": 38, "lattice": [[2.419, -6.901, 0.000], [2.419, 6.901, 0.000], [0.000, 0.000, 4.856]], "species": ["Tl", "Tl", "Tl", "Tl", "Tl", "As"], "frac_coords": [[0.000, 0.000, 0.000], [0.158, 0.842, 0.500], [0.342, 0.658, 0.000], [0.658, 0.342, 0.000], [0.842, 0.158, 0.500], [0.500, 0.500, 0.500]]}